(1)
Compound: KV4O10
Source: Alexandria
Functional: GGA-PBEsol
Structure: optimized geometry

E_form (uncorrected) ... -2.339 eV/atom

The structure in CIF format:
```
data_KV4O10
_chemical_formula_sum 'K2 V8 O20'
_cell_length_a 5.9742
_cell_length_b 5.9742
_cell_length_c 19.8703
_cell_angle_alpha 90.00
_cell_angle_beta 90.00
_cell_angle_gamma 144.19
_space_group_name_H-M_alt 'P 1'
_space_group_IT_number 1
_space_group_name_Hall 'P 1'
loop_
_atom_site_label
_atom_site_type_symbol
_atom_site_fract_x
_atom_site_fract_y
_atom_site_fract_z
K1 K 0.1034 0.8966 0.7500
K2 K 0.8966 0.1034 0.2500
V1 V 0.2680 0.7320 0.5760
V2 V 0.2680 0.7320 0.9240
V3 V 0.4312 0.5688 0.0745
V4 V 0.4312 0.5688 0.4255
V5 V 0.5688 0.4312 0.5745
V6 V 0.5688 0.4312 0.9255
V7 V 0.7320 0.2680 0.0760
V8 V 0.7320 0.2680 0.4240
O1 O 0.0967 0.9033 0.5592
O2 O 0.0967 0.9033 0.9408
O3 O 0.2578 0.7422 0.0549
O4 O 0.2578 0.7422 0.4451
O5 O 0.2810 0.7190 0.6561
O6 O 0.2810 0.7190 0.8439
O7 O 0.4185 0.5815 0.5465
O8 O 0.4185 0.5815 0.9535
O9 O 0.4440 0.5560 0.1554
O10 O 0.4440 0.5560 0.3446
O11 O 0.5560 0.4440 0.6554
O12 O 0.5560 0.4440 0.8446
O13 O 0.5815 0.4185 0.0465
O14 O 0.5815 0.4185 0.4535
O15 O 0.7190 0.2810 0.1561
O16 O 0.7190 0.2810 0.3439
O17 O 0.7422 0.2578 0.5549
O18 O 0.7422 0.2578 0.9451
O19 O 0.9033 0.0967 0.0592
O20 O 0.9033 0.0967 0.4408
```


(2)
Compound: K2V3O8
Source: Alexandria
Functional: GGA-PBEsol
Structure: optimized geometry

E_form (uncorrected) ... -2.362 eV/atom

The structure in CIF format:
```
data_K2V3O8
_chemical_formula_sum 'K4 V6 O16'
_cell_length_a 8.8318
_cell_length_b 8.8318
_cell_length_c 5.2976
_cell_angle_alpha 90.00
_cell_angle_beta 90.00
_cell_angle_gamma 90.00
_space_group_name_H-M_alt 'P 1'
_space_group_IT_number 1
_space_group_name_Hall 'P 1'
loop_
_atom_site_label
_atom_site_type_symbol
_atom_site_fract_x
_atom_site_fract_y
_atom_site_fract_z
K1 K 0.1679 0.3321 0.0000
K2 K 0.3321 0.8321 0.0000
K3 K 0.6679 0.1679 0.0000
K4 K 0.8321 0.6679 0.0000
V1 V 0.0000 0.0000 0.4505
V2 V 0.1348 0.6348 0.4675
V3 V 0.3652 0.1348 0.4675
V4 V 0.5000 0.5000 0.4505
V5 V 0.6348 0.8652 0.4675
V6 V 0.8652 0.3652 0.4675
O1 O 0.0000 0.0000 0.7537
O2 O 0.0000 0.5000 0.3471
O3 O 0.0852 0.8097 0.3498
O4 O 0.1325 0.6325 0.7775
O5 O 0.1903 0.0852 0.3498
O6 O 0.3097 0.5852 0.3498
O7 O 0.3675 0.1325 0.7775
O8 O 0.4148 0.3097 0.3498
O9 O 0.5000 0.0000 0.3471
O10 O 0.5000 0.5000 0.7537
O11 O 0.5852 0.6903 0.3498
O12 O 0.6325 0.8675 0.7775
O13 O 0.6903 0.4148 0.3498
O14 O 0.8097 0.9148 0.3498
O15 O 0.8675 0.3675 0.7775
O16 O 0.9148 0.1903 0.3498
```


(3)
Compound: K4V2O7
Source: Alexandria
Functional: GGA-PBEsol
Structure: optimized geometry

E_form (uncorrected) ... -2.268 eV/atom

The structure in CIF format:
```
data_K4V2O7
_chemical_formula_sum 'K4 V2 O7'
_cell_length_a 6.0164
_cell_length_b 6.0164
_cell_length_c 7.1848
_cell_angle_alpha 100.14
_cell_angle_beta 100.14
_cell_angle_gamma 61.92
_space_group_name_H-M_alt 'P 1'
_space_group_IT_number 1
_space_group_name_Hall 'P 1'
loop_
_atom_site_label
_atom_site_type_symbol
_atom_site_fract_x
_atom_site_fract_y
_atom_site_fract_z
K1 K 0.0000 0.0000 0.0000
K2 K 0.0000 0.0000 0.5000
K3 K 0.3220 0.3220 0.8028
K4 K 0.6780 0.6780 0.1972
V1 V 0.3627 0.3627 0.2982
V2 V 0.6373 0.6373 0.7018
O1 O 0.1571 0.6029 0.1703
O2 O 0.2137 0.2137 0.3607
O3 O 0.3971 0.8429 0.8297
O4 O 0.5000 0.5000 0.5000
O5 O 0.6029 0.1571 0.1703
O6 O 0.7863 0.7863 0.6393
O7 O 0.8429 0.3971 0.8297
```


(4)
Compound: K3VO8
Source: Alexandria
Functional: GGA-PBEsol
Structure: optimized geometry

E_form (uncorrected) ... -1.319 eV/atom

The structure in CIF format:
```
data_K3VO8
_chemical_formula_sum 'K3 V1 O8'
_cell_length_a 6.0645
_cell_length_b 6.0645
_cell_length_c 6.0645
_cell_angle_alpha 113.18
_cell_angle_beta 113.18
_cell_angle_gamma 102.28
_space_group_name_H-M_alt 'P 1'
_space_group_IT_number 1
_space_group_name_Hall 'P 1'
loop_
_atom_site_label
_atom_site_type_symbol
_atom_site_fract_x
_atom_site_fract_y
_atom_site_fract_z
K1 K 0.0000 0.0000 0.0000
K2 K 0.2500 0.7500 0.5000
K3 K 0.7500 0.2500 0.5000
V1 V 0.5000 0.5000 0.0000
O1 O 0.1800 0.4516 0.0000
O2 O 0.2820 0.6918 0.0000
O3 O 0.3082 0.3082 0.5901
O4 O 0.4516 0.1800 0.0000
O5 O 0.5484 0.5484 0.7284
O6 O 0.6918 0.2820 0.0000
O7 O 0.7180 0.7180 0.4099
O8 O 0.8200 0.8200 0.2716
```


Number 1: uncorrected energy -8.48 eV per atom, volume 13.8 Å³/atom. Number 2: uncorrected energy -7.99 eV per atom, volume 15.9 Å³/atom. Number 3: uncorrected energy -6.93 eV per atom, volume 17.3 Å³/atom. Number 4: uncorrected energy -5.90 eV per atom, volume 14.1 Å³/atom.